(1)
PBE-GGA PrSiHOs, optimized geometry; V = 16.51 A^3/atom; density of states at the Fermi level = 3.399 states/eV per cell; E_tot = -6.827 eV per atom
1.0
-2.3079 -1.8223 2.9649
3.2084 0.2640 2.6598
-2.4448 6.7970 2.2745
Pr Si H Os
2 2 2 2
Cartesian
-2.7791 3.6070 2.9944
0.7845 2.4109 2.0925
-0.4589 5.8678 3.2493
-1.5356 0.1500 1.8375
-1.2224 3.3985 1.1373
-0.7722 2.6193 3.9496
0.4502 -0.7791 2.8123
0.0000 0.0000 0.0000

(2)
PBE-GGA TbDy2Mg, optimized geometry; V = 29.50 A^3/atom; density of states at the Fermi level = 7.215 states/eV per cell; DFT formation energy = 0.5 kcal/mol of atoms
1.0
-2.7877 -3.9583 -0.8337
4.0350 -2.7034 -0.6566
0.0703 -1.0574 4.7852
Mg Tb Dy
1 1 2
Cartesian
-1.3939 -1.9792 -0.4169
0.6588 -3.8595 1.6474
0.0352 -0.5287 2.3926
2.0175 -1.3517 -0.3283

(3)
PBE-GGA Ag4I2BrCl, optimized geometry; V = 32.73 A^3/atom; E_tot = -2.577 eV per atom
1.0
6.4787 0.2712 0.0000
-0.2672 6.4787 0.0011
-3.1058 -3.3738 6.2269
Ag I Br Cl
4 2 1 1
Cartesian
1.5048 1.6362 4.7757
1.4572 4.8917 1.4544
4.7540 1.8583 1.4538
-1.5052 -1.6343 4.7751
3.2392 0.1360 3.1142
-0.1338 3.2400 3.1149
3.1050 3.3760 6.2199
3.1076 3.3750 0.0081